Below is a relaxed structure of PuNb2O8, with properties calculated at the PBE level.

Values from the calculation:
The value obtained for the raw total energy is -9.22 eV per atom. Its uncorrected formation energy is -2477 meV/atom.

Unit cell a=9.1401 b=6.0605 c=5.2868 alpha=90.00 beta=103.03 gamma=90.00
Space group C2/m (No. 12)
Asymmetric unit:
Pu (0.0000, 0.0000, 0.0000)
Nb (0.1712, 0.5000, 0.4868)
O (0.0586, 0.5000, 0.7383)
O (0.1318, 0.0000, 0.7932)
O (0.1610, 0.2085, 0.2993)